No. 1
Ac3HgI3 | Alexandria via LeMat-Bulk | PBE | relaxed; SG = I4_132; formation energy from raw total energies = -7.1 eV/f.u.
1.0
-5.994 5.144 -8.527
11.316 2.338 -1.262
-1.659 -11.494 -0.486
Ac Hg I
12 4 12
direct
0.977 0.489 0.239
0.511 0.023 0.261
0.250 0.011 0.489
0.989 0.750 0.011
0.989 0.239 0.477
0.761 0.011 0.023
0.739 0.477 0.489
0.761 0.750 0.239
0.523 0.261 0.011
0.250 0.239 0.261
0.739 0.261 0.750
0.511 0.489 0.750
0.750 0.500 0.000
0.500 0.250 0.500
0.750 0.250 0.250
0.000 0.000 0.250
0.241 0.991 0.983
0.750 0.759 0.741
0.483 0.741 0.991
0.009 0.250 0.991
0.259 0.741 0.250
0.491 0.509 0.250
0.241 0.250 0.759
0.259 0.517 0.509
0.750 0.991 0.509
0.017 0.509 0.759
0.009 0.759 0.517
0.491 0.983 0.741


No. 2
PmY2Si4 | Alexandria via LeMat-Bulk | PBE | relaxed; SG = Immm; formation energy from raw total energies = -5.4 eV/f.u.
1.0
-1.584 -3.552 0.014
3.523 -1.563 1.887
-4.492 4.158 6.948
Pm Y Si
1 2 4
direct
0.500 0.000 0.000
0.817 0.817 0.634
0.183 0.183 0.366
0.650 0.650 0.300
0.350 0.350 0.700
0.067 0.567 0.134
0.933 0.433 0.866


No. 3
In2Ag2Hg | Alexandria via LeMat-Bulk | PBE | relaxed; SG = P4/mbm; ΔH_f (0 K) = 42 meV per atom
1.0
-0.064 -7.673 4.042
8.666 -0.217 -0.275
0.122 1.425 2.707
Hg Ag In
2 4 4
direct
0.000 0.000 0.000
0.500 0.500 0.000
0.117 0.617 0.500
0.617 0.883 0.500
0.883 0.383 0.500
0.383 0.117 0.500
0.320 0.820 0.000
0.820 0.680 0.000
0.680 0.180 0.000
0.180 0.320 0.000


No. 4
AlAgHg | Alexandria via LeMat-Bulk | PBE | relaxed; SG = Fmm2; ΔH_f (0 K) = 158 meV per atom
1.0
-3.336 -6.435 -0.310
-0.648 -6.769 -1.740
0.105 -1.181 2.824
Hg Ag Al
1 1 1
direct
0.669 0.669 0.331
0.990 0.990 0.010
0.340 0.340 0.660


No. 5
KI2O5 | Alexandria via LeMat-Bulk | PBE | relaxed; SG = Immm; formation energy from raw total energies = -1.9 eV/f.u.
1.0
3.994 0.000 0.000
1.997 6.129 0.873
1.997 2.676 5.583
K I O
1 2 5
direct
0.000 0.000 0.000
0.801 0.699 0.699
0.199 0.301 0.301
0.000 0.500 0.500
0.667 0.605 0.062
0.333 0.395 0.938
0.333 0.938 0.395
0.667 0.062 0.605


No. 6
Pm2Ga8Pt | Alexandria via LeMat-Bulk | PBE | relaxed; SG = P4/mmm; ΔH_f (0 K) = -566 meV per atom
1.0
-4.284 0.719 -0.605
0.573 -0.241 -4.342
-1.925 -11.164 0.365
Pm Ga Pt
2 8 1
direct
0.000 0.000 0.308
0.000 0.000 0.692
0.000 0.500 0.500
0.500 0.000 0.500
0.500 0.500 0.307
0.500 0.500 0.693
0.000 0.500 0.123
0.500 0.000 0.123
0.000 0.500 0.877
0.500 0.000 0.877
0.000 0.000 0.000


Number 1: E_tot -97.648 eV for the cell shown, total magnetization 0.00 μB/cell. Number 2: E_tot -44.797 eV for the cell shown, total magnetization 0.00 μB/cell. Number 3: E_tot -22.545 eV for the cell shown, total magnetization 0.00 μB/cell. Number 4: E_tot -6.422 eV for the cell shown, total magnetization 0.00 μB/cell. Number 5: E_tot -30.907 eV for the cell shown, total magnetization 0.00 μB/cell. Number 6: E_tot -45.985 eV for the cell shown, total magnetization 0.00 μB/cell.